[1]
# Cd3ReI

Cd3ReI after structural relaxation (PBE-GGA, Alexandria).

Its energy relative to the elements, uncorrected is 1.8291 eV per atom. The polymorph energy (0 for the lowest one) is 464.0 kJ/mol of formula units. The crystal system is cubic.

Unit cell a=5.995 b=5.995 c=5.995 alpha=90.00 beta=90.00 gamma=90.00
Element x y z (fractional)
Cd 0.000 0.000 0.500
Cd 0.000 0.500 0.000
Cd 0.500 0.000 0.000
Re 0.500 0.500 0.500
I 0.000 0.000 0.000

***

[2]
# KLiMg2Hg4

KLiMg2Hg4 after structural relaxation (PBE-GGA, Alexandria).

The formation energy comes out at -0.23 eV/atom. The crystal system is trigonal.

Unit cell a=10.342 b=10.342 c=10.342 alpha=27.34 beta=27.34 gamma=27.34
Element x y z (fractional)
K 0.000 0.000 0.000
Li 0.500 0.500 0.500
Mg 0.232 0.232 0.232
Mg 0.768 0.768 0.768
Hg 0.133 0.133 0.133
Hg 0.404 0.404 0.404
Hg 0.596 0.596 0.596
Hg 0.867 0.867 0.867

***

[3]
# InB2PtPb

InB2PtPb after structural relaxation (PBE-GGA, Alexandria).

The formation energy comes out at 1.47 eV/atom. The crystal system is tetragonal.

Unit cell a=4.423 b=4.423 c=5.339 alpha=90.00 beta=90.00 gamma=90.00
Element x y z (fractional)
In 0.000 0.000 0.000
B 0.000 0.500 0.000
B 0.500 0.000 0.000
Pt 0.000 0.000 0.500
Pb 0.500 0.500 0.500

***

[4]
# NaMn2TlCl6

NaMn2TlCl6 after structural relaxation (PBE-GGA, Alexandria).

Its energy relative to the elements, uncorrected is -1.2032 eV per atom. The crystal system is monoclinic.

Unit cell a=9.377 b=9.377 c=7.011 alpha=96.05 beta=96.05 gamma=89.45
Element x y z (fractional)
Na 0.216 0.784 0.750
Na 0.784 0.216 0.250
Mn 0.110 0.281 0.784
Mn 0.281 0.110 0.284
Mn 0.719 0.890 0.716
Mn 0.890 0.719 0.216
Tl 0.402 0.598 0.250
Tl 0.598 0.402 0.750
Cl 0.077 0.213 0.102
Cl 0.102 0.665 0.391
Cl 0.213 0.077 0.602
Cl 0.264 0.479 0.828
Cl 0.335 0.898 0.109
Cl 0.479 0.264 0.328
Cl 0.521 0.736 0.672
Cl 0.665 0.102 0.891
Cl 0.736 0.521 0.172
Cl 0.787 0.923 0.398
Cl 0.898 0.335 0.609
Cl 0.923 0.787 0.898

***

[5]
# KLuBi2

KLuBi2 after structural relaxation (PBE-GGA, Alexandria).

The polymorph energy (0 for the lowest one) is 0.0 kJ/mol of formula units. The formation energy comes out at -0.47 eV/atom. The crystal system is tetragonal.

Unit cell a=3.681 b=3.681 c=9.544 alpha=90.00 beta=90.00 gamma=90.00
Element x y z (fractional)
K 0.000 0.000 0.000
Lu 0.000 0.000 0.500
Bi 0.500 0.500 0.284
Bi 0.500 0.500 0.716

***

[6]
# LiMg3H8Ir2

LiMg3H8Ir2 after structural relaxation (PBE-GGA, Alexandria).

Its energy is -53.10 eV per cell. The crystal system is trigonal.

Unit cell a=4.863 b=4.863 c=6.685 alpha=90.00 beta=90.00 gamma=120.00
Element x y z (fractional)
Li 0.000 0.000 0.000
Mg 0.000 0.000 0.500
Mg 0.333 0.667 0.190
Mg 0.667 0.333 0.810
H 0.137 0.275 0.759
H 0.137 0.863 0.759
H 0.275 0.137 0.241
H 0.333 0.667 0.518
H 0.667 0.333 0.482
H 0.725 0.863 0.759
H 0.863 0.137 0.241
H 0.863 0.725 0.241
Ir 0.333 0.667 0.758
Ir 0.667 0.333 0.242

***

[7]
# Li2B2PtO6

Li2B2PtO6 after structural relaxation (PBE-GGA, Alexandria).

Its energy relative to the elements, uncorrected is -1.8022 eV per atom. The crystal system is trigonal.

Unit cell a=4.831 b=4.831 c=5.899 alpha=90.00 beta=90.00 gamma=120.00
Element x y z (fractional)
Li 0.333 0.667 0.301
Li 0.667 0.333 0.699
B 0.333 0.667 0.809
B 0.667 0.333 0.191
Pt 0.000 0.000 0.000
O 0.059 0.689 0.798
O 0.311 0.370 0.798
O 0.370 0.059 0.202
O 0.630 0.941 0.798
O 0.689 0.630 0.202
O 0.941 0.311 0.202

***

[8]
# VMo2HAu

VMo2HAu after structural relaxation (PBE-GGA, Alexandria).

Its energy is -37.22 eV per cell. The crystal system is tetragonal.

Unit cell a=3.974 b=3.974 c=4.013 alpha=90.00 beta=90.00 gamma=90.00
Element x y z (fractional)
V 0.000 0.000 0.000
Mo 0.000 0.500 0.500
Mo 0.500 0.000 0.500
H 0.000 0.000 0.500
Au 0.500 0.500 0.000

***

[9]
# CrCu2Au

CrCu2Au after structural relaxation (PBE-GGA, Alexandria).

The formation energy comes out at 0.25 eV/atom. The crystal system is monoclinic.

Unit cell a=2.759 b=4.460 c=4.800 alpha=90.00 beta=93.41 gamma=90.00
Element x y z (fractional)
Cr 0.000 0.000 0.000
Cu 0.270 0.500 0.765
Cu 0.730 0.500 0.235
Au 0.500 0.000 0.500

***

[10]
# AsS6Cl2

AsS6Cl2 after structural relaxation (PBE-GGA, Alexandria).

Its energy relative to the elements, uncorrected is -0.0158 eV per atom. The crystal system is monoclinic.

Unit cell a=6.846 b=6.800 c=11.219 alpha=90.00 beta=111.21 gamma=90.00
Element x y z (fractional)
As 0.000 0.000 0.000
As 0.000 0.500 0.500
S 0.059 0.176 0.633
S 0.059 0.324 0.133
S 0.266 0.111 0.551
S 0.266 0.389 0.051
S 0.302 0.163 0.947
S 0.302 0.337 0.447
S 0.698 0.663 0.553
S 0.698 0.837 0.053
S 0.734 0.611 0.949
S 0.734 0.889 0.449
S 0.941 0.676 0.867
S 0.941 0.824 0.367
Cl 0.254 0.664 0.686
Cl 0.254 0.836 0.186
Cl 0.746 0.164 0.814
Cl 0.746 0.336 0.314

***

[11]
# KZnSb2

KZnSb2 after structural relaxation (PBE-GGA, Alexandria).

Its energy relative to the elements, uncorrected is -0.0211 eV per atom. The crystal system is orthorhombic.

Unit cell a=3.304 b=5.454 c=6.292 alpha=90.00 beta=90.00 gamma=90.00
Element x y z (fractional)
K 0.000 0.000 0.000
Zn 0.500 0.500 0.270
Sb 0.500 0.000 0.492
Sb 0.500 0.500 0.744

***

[12]
# La2NdPb9

La2NdPb9 after structural relaxation (PBE-GGA, Alexandria).

The formation energy comes out at -0.42 eV/atom. The crystal system is tetragonal.

Unit cell a=4.953 b=4.953 c=14.843 alpha=90.00 beta=90.00 gamma=90.00
Element x y z (fractional)
La 0.000 0.000 0.167
La 0.000 0.000 0.833
Nd 0.000 0.000 0.500
Pb 0.000 0.500 0.000
Pb 0.000 0.500 0.335
Pb 0.000 0.500 0.665
Pb 0.500 0.000 0.000
Pb 0.500 0.000 0.335
Pb 0.500 0.000 0.665
Pb 0.500 0.500 0.167
Pb 0.500 0.500 0.500
Pb 0.500 0.500 0.833

***

Number 1: magnetization 4.8 μB/f.u.. Number 2: magnetization 0.0 μB/f.u.. Number 3: magnetization 0.0 μB/f.u.. Number 4: magnetization 10.0 μB/f.u.. Number 5: magnetization 0.0 μB/f.u.. Number 6: magnetization 0.0 μB/f.u.. Number 7: magnetization 0.0 μB/f.u.. Number 8: magnetization 0.0 μB/f.u.. Number 9: magnetization 3.8 μB/f.u.. Number 10: magnetization 0.0 μB/f.u.. Number 11: magnetization 0.0 μB/f.u.. Number 12: magnetization 0.0 μB/f.u..